Record 1
Entry from Alexandria via LeMat-Bulk: a relaxed AcTbN crystal (GGA-PBE).

Unit cell a=3.660 b=3.660 c=6.731 alpha=90.00 beta=90.00 gamma=120.00
Fractional coordinates of all 3 atoms:
Ac: 0.000 0.000 0.000
Tb: 0.667 0.333 0.571
N: 0.333 0.667 0.727

The calculation puts the total magnetization at 0.005 μB/atom. The value obtained for the uncorrected formation energy is -0.797 eV per atom. As for the symmetry: P3m1, No. 156. The relative energy among the computed polymorphs is 1 meV/atom.

Record 2
Entry from Alexandria via LeMat-Bulk: a relaxed LaBeIr2 crystal (GGA-PBE).

Unit cell a=3.032 b=3.032 c=7.093 alpha=90.00 beta=90.00 gamma=90.00
Fractional coordinates of all 4 atoms:
La: 0.000 0.000 0.000
Be: 0.000 0.000 0.500
Ir: 0.500 0.500 0.312
Ir: 0.500 0.500 0.688

The calculation puts the total magnetization at 0.000 μB/atom. As for the symmetry: P4/mmm, No. 123. The value obtained for the energy of formation from the pure elements is -238 meV per atom.

Record 3
Entry from Alexandria via LeMat-Bulk: a relaxed MgTcAu3 crystal (GGA-PBE).

Unit cell a=5.046 b=5.046 c=5.046 alpha=90.00 beta=90.00 gamma=90.00
Fractional coordinates of all 5 atoms:
Mg: 0.000 0.000 0.000
Tc: 0.500 0.500 0.500
Au: 0.000 0.500 0.500
Au: 0.500 0.000 0.500
Au: 0.500 0.500 0.000

The calculation puts the total magnetization at 0.447 μB/atom. As for the symmetry: Pm-3m, No. 221. The relative energy among the computed polymorphs is 0 meV/atom. The value obtained for the energy of formation from the pure elements is 861 meV per atom.

Record 4
Entry from Alexandria via LeMat-Bulk: a relaxed ThInSn4 crystal (GGA-PBE).

Unit cell a=6.170 b=6.170 c=6.170 alpha=60.00 beta=60.00 gamma=60.00
Fractional coordinates of all 6 atoms:
Th: 0.000 0.000 0.000
In: 0.250 0.250 0.250
Sn: 0.126 0.625 0.625
Sn: 0.625 0.126 0.625
Sn: 0.625 0.625 0.126
Sn: 0.625 0.625 0.625

The calculation puts the total magnetization at 0.000 μB/atom. As for the symmetry: F-43m, No. 216. The value obtained for the energy of formation from the pure elements is -83 meV per atom.

Record 5
Entry from Alexandria via LeMat-Bulk: a relaxed La2DyY2 crystal (GGA-PBE).

Unit cell a=6.579 b=6.579 c=8.962 alpha=105.64 beta=105.64 gamma=95.26
Fractional coordinates of all 10 atoms:
La: 0.073 0.248 0.139
La: 0.248 0.073 0.639
La: 0.752 0.927 0.361
La: 0.927 0.752 0.861
Dy: 0.205 0.795 0.250
Dy: 0.795 0.205 0.750
Y: 0.000 0.500 0.500
Y: 0.500 0.000 0.000
Y: 0.500 0.500 0.000
Y: 0.500 0.500 0.500

The calculation puts the total magnetization at 0.000 μB/atom. As for the symmetry: C2/c, No. 15. The relative energy among the computed polymorphs is 5 meV/atom. The value obtained for the energy of formation from the pure elements is 234 meV per atom.

Record 6
Entry from Alexandria via LeMat-Bulk: a relaxed ErAuSe2 crystal (GGA-PBE).

Unit cell a=8.163 b=8.163 c=8.163 alpha=30.15 beta=30.15 gamma=30.15
Fractional coordinates of all 4 atoms:
Er: 0.000 0.000 0.000
Au: 0.500 0.500 0.500
Se: 0.396 0.396 0.396
Se: 0.604 0.604 0.604

The calculation puts the total magnetization at 0.000 μB/atom. The value obtained for the uncorrected formation energy is -1.128 eV per atom. As for the symmetry: R-3m, No. 166.

Record 7
Entry from Alexandria via LeMat-Bulk: a relaxed SiAs3P crystal (GGA-PBE).

Unit cell a=4.734 b=4.734 c=4.734 alpha=90.00 beta=90.00 gamma=90.00
Fractional coordinates of all 5 atoms:
Si: 0.000 0.000 0.000
As: 0.000 0.500 0.500
As: 0.500 0.000 0.500
As: 0.500 0.500 0.000
P: 0.500 0.500 0.500

The calculation puts the total magnetization at 0.000 μB/atom. The value obtained for the uncorrected formation energy is 0.888 eV per atom. As for the symmetry: Pm-3m, No. 221. The relative energy among the computed polymorphs is 0 meV/atom.

Record 8
Entry from Alexandria via LeMat-Bulk: a relaxed Cr3Pb crystal (GGA-PBE).

Unit cell a=2.982 b=4.392 c=4.905 alpha=90.00 beta=90.00 gamma=90.00
Fractional coordinates of all 4 atoms:
Cr: 0.000 0.000 0.000
Cr: 0.000 0.500 0.218
Cr: 0.500 0.000 0.335
Pb: 0.500 0.500 0.715

The calculation puts the total magnetization at 0.393 μB/atom. As for the symmetry: Pmm2, No. 25. The value obtained for the energy of formation from the pure elements is 693 meV per atom.